CaZnGa2Au4 | PBE | relaxed

a = 4.557 Å, b = 4.557 Å, c = 8.984 Å
α = 75.31°, β = 75.31°, γ = 60.00°
Fractional positions:
Ca 0.000 0.000 0.000
Zn 0.500 0.500 0.500
Ga 0.748 0.748 0.755
Ga 0.252 0.252 0.245
Au 0.397 0.397 0.808
Au 0.864 0.864 0.407
Au 0.136 0.136 0.593
Au 0.603 0.603 0.192

Calculated values
As for the magnetic moment: 0.0 μB per formula unit. The calculation puts the energy of formation at -292 kJ/mol of formula units.

=====

CaZn2GaAu | PBE | relaxed

a = 4.022 Å, b = 4.295 Å, c = 6.509 Å
α = 109.26°, β = 108.00°, γ = 90.00°
Fractional positions:
Ca 0.442 0.442 0.884
Zn 0.697 0.197 0.394
Zn 0.056 0.056 0.112
Ga 0.182 0.682 0.365
Au 0.835 0.835 0.669

Calculated values
As for the magnetic moment: 0.0 μB per formula unit. The calculation puts the energy of formation at -200 kJ/mol of formula units.

=====

CaZnGaAu2 | PBE | relaxed

a = 4.903 Å, b = 5.605 Å, c = 4.903 Å
α = 90.00°, β = 90.00°, γ = 90.00°
Fractional positions:
Zn 0.500 0.500 0.500
Au 0.000 0.000 0.500
Au 0.500 0.000 0.000
Ca 0.000 0.500 0.000
Ga 0.000 0.000 0.000

Calculated values
As for the magnetic moment: 0.0 μB per formula unit. The calculation puts the energy of formation at 40 kJ/mol of formula units. The value obtained for the excess energy over the best structure of this formula in the dataset is 614 meV/atom.

=====

Ca3ZnGa2Au6 | PBE | relaxed

a = 5.983 Å, b = 5.983 Å, c = 8.668 Å
α = 90.00°, β = 90.00°, γ = 120.00°
Fractional positions:
Ca 0.333 0.667 0.614
Ca 0.667 0.333 0.386
Ca 0.000 0.000 0.000
Zn 0.000 0.000 0.500
Ga 0.667 0.333 0.978
Ga 0.333 0.667 0.022
Au 0.655 0.827 0.280
Au 0.173 0.345 0.280
Au 0.173 0.827 0.280
Au 0.827 0.655 0.720
Au 0.345 0.173 0.720
Au 0.827 0.173 0.720

Calculated values
As for the magnetic moment: 0.0 μB per formula unit. The calculation puts the energy of formation at -551 kJ/mol of formula units.

=====

CaZn2GaAu5 | PBE | relaxed

a = 4.846 Å, b = 5.706 Å, c = 7.925 Å
α = 111.10°, β = 107.80°, γ = 90.00°
Fractional positions:
Ca 0.000 0.500 0.000
Zn 0.186 0.186 0.371
Zn 0.814 0.814 0.629
Ga 0.500 0.000 0.000
Au 0.657 0.900 0.314
Au 0.343 0.100 0.686
Au 0.343 0.587 0.686
Au 0.657 0.413 0.314
Au 0.000 0.000 0.000

Calculated values
As for the magnetic moment: 0.0 μB per formula unit. The calculation puts the energy of formation at -202 kJ/mol of formula units.

=====

Ca3ZnGa2Au9 | PBE | relaxed

a = 6.728 Å, b = 6.728 Å, c = 9.407 Å
α = 90.00°, β = 90.00°, γ = 120.00°
Fractional positions:
Ca 0.333 0.667 0.728
Ca 0.000 0.000 0.000
Ca 0.667 0.333 0.272
Zn 0.000 0.000 0.500
Ga 0.333 0.667 0.181
Ga 0.667 0.333 0.819
Au 0.860 0.140 0.714
Au 0.860 0.720 0.714
Au 0.280 0.140 0.714
Au 0.720 0.860 0.286
Au 0.140 0.280 0.286
Au 0.140 0.860 0.286
Au 0.500 0.000 0.000
Au 0.000 0.500 0.000
Au 0.500 0.500 0.000

Calculated values
As for the magnetic moment: 0.0 μB per formula unit. The calculation puts the energy of formation at -528 kJ/mol of formula units.

=====

CaZnGa3Au | PBE | relaxed

a = 5.817 Å, b = 5.765 Å, c = 8.884 Å
α = 108.93°, β = 90.00°, γ = 90.00°
Fractional positions:
Ca 0.750 0.333 0.666
Ca 0.250 0.667 0.334
Zn 0.250 0.097 0.193
Zn 0.750 0.903 0.807
Ga 0.250 0.244 0.488
Ga 0.000 0.253 0.000
Ga 0.500 0.747 0.000
Ga 0.500 0.253 0.000
Ga 0.000 0.747 0.000
Ga 0.750 0.756 0.512
Au 0.250 0.392 0.784
Au 0.750 0.608 0.216

Calculated values
As for the magnetic moment: 0.0 μB per formula unit. The calculation puts the energy of formation at -92 kJ/mol of formula units.

=====

CaZnGaAu2 | PBE | relaxed

a = 4.108 Å, b = 4.108 Å, c = 6.817 Å
α = 107.53°, β = 107.53°, γ = 90.00°
Fractional positions:
Ca 0.000 0.000 0.000
Zn 0.750 0.250 0.500
Ga 0.250 0.750 0.500
Au 0.612 0.612 0.225
Au 0.388 0.388 0.775

Calculated values
As for the magnetic moment: 0.0 μB per formula unit. The calculation puts the energy of formation at -257 kJ/mol of formula units. The value obtained for the excess energy over the best structure of this formula in the dataset is 0 meV/atom.